1.
SiAg2Ir | SCAN | PBEsol geometry

Cell: 3.674 3.674 8.945 Å, 90.00 90.00 90.00°
Space group I4/mmm (No. 139)
Inequivalent atoms, fractional coordinates:
Si1 0.000 0.000 0.000 [2 per cell]
Ag1 0.000 0.500 0.250 [4 per cell]
Ir1 0.000 0.000 0.500 [2 per cell]

## Properties
Crystal system ... tetragonal
ΔE_f (raw) ... 0.251 eV per atom


2.
Si2AgIr | SCAN | PBEsol geometry

Cell: 5.733 5.733 9.927 Å, 90.00 90.00 90.00°
Space group I-42d (No. 122)
Inequivalent atoms, fractional coordinates:
Si1 0.220 0.250 0.125 [8 per cell]
Ag1 0.000 0.000 0.500 [4 per cell]
Ir1 0.000 0.000 0.000 [4 per cell]

## Properties
Crystal system ... tetragonal
ΔE_f (raw) ... 0.234 eV per atom


3.
Sr3AgIr | SCAN | PBEsol geometry

Cell: 5.649 5.649 5.649 Å, 90.00 90.00 90.00°
Space group Pm-3m (No. 221)
Inequivalent atoms, fractional coordinates:
Sr1 0.000 0.000 0.500 [3 per cell]
Ag1 0.000 0.000 0.000 [1 per cell]
Ir1 0.500 0.500 0.500 [1 per cell]

## Properties
Crystal system ... cubic
Electronic total energy ... -165.9 eV for the cell shown


4.
TaAgIr2 | SCAN | PBEsol geometry

Cell: 2.960 3.601 5.786 Å, 90.00 90.00 90.00°
Space group Pmmm (No. 47)
Inequivalent atoms, fractional coordinates:
Ta1 0.000 0.000 0.000 [1 per cell]
Ag1 0.000 0.000 0.500 [1 per cell]
Ir1 0.500 0.500 0.245 [2 per cell]

## Properties
Crystal system ... orthorhombic
Electronic total energy ... -241.3 eV for the cell shown


5.
TcAgIr2 | SCAN | PBEsol geometry

Cell: 9.120 2.723 4.745 Å, 90.00 99.86 90.00°
Space group Cm (No. 8)
Inequivalent atoms, fractional coordinates:
Tc1 0.000 0.000 0.000 [2 per cell]
Ag1 0.260 0.500 0.278 [2 per cell]
Ir1 0.016 0.500 0.523 [2 per cell]
Ir2 0.257 0.000 0.784 [2 per cell]

## Properties
Crystal system ... monoclinic
Electronic total energy ... -415.2 eV for the cell shown


6.
TcAgIr2 | SCAN | PBEsol geometry

Cell: 2.706 3.908 5.502 Å, 90.00 90.00 90.00°
Space group Pmm2 (No. 25)
Inequivalent atoms, fractional coordinates:
Tc1 0.000 0.000 0.000 [1 per cell]
Ag1 0.500 0.500 0.273 [1 per cell]
Ir1 0.000 0.000 0.528 [1 per cell]
Ir2 0.500 0.500 0.783 [1 per cell]

## Properties
Crystal system ... orthorhombic
Electronic total energy ... -207.5 eV for the cell shown